Entry 1:
The following is a PBE-GGA calculation of crystalline LiCa2Cu4Ge3 at its relaxed geometry, from Alexandria.

Computed properties:
Spin magnetization   0.000 μB per formula unit
ΔE_f   -8.0 kcal/mol of atoms

a = 4.229 Å, b = 4.229 Å, c = 9.841 Å
α = 90.00°, β = 90.00°, γ = 90.00°
Atoms (fractional coordinates):
Ge  0.500  0.000  0.867
Ge  0.000  0.500  0.133
Ge  0.000  0.000  0.500
Ca  0.500  0.000  0.243
Ca  0.000  0.500  0.757
Cu  0.500  0.500  0.000
Cu  0.000  0.500  0.375
Cu  0.000  0.000  0.000
Cu  0.500  0.000  0.625
Li  0.500  0.500  0.500

=====

Entry 2:
The following is a PBE-GGA calculation of crystalline K2MgTl4 at its relaxed geometry, from Alexandria.

Computed properties:
Spin magnetization   0.000 μB per formula unit
ΔE_f   -0.1 kcal/mol of atoms

a = 5.225 Å, b = 5.225 Å, c = 9.354 Å
α = 106.18°, β = 106.22°, γ = 90.00°
Atoms (fractional coordinates):
K  0.753  0.753  0.506
K  0.247  0.247  0.494
Tl  0.095  0.595  0.191
Tl  0.405  0.904  0.809
Tl  0.905  0.405  0.809
Tl  0.595  0.096  0.191
Mg  0.000  0.000  0.000

=====

Entry 3:
The following is a PBE-GGA calculation of crystalline TbNd2Te4 at its relaxed geometry, from Alexandria.

Computed properties:
Spin magnetization   0.000 μB per formula unit
Energy above the most stable polymorph in this dataset   0.0000 eV/atom

a = 4.442 Å, b = 7.816 Å, c = 8.637 Å
α = 117.45°, β = 104.90°, γ = 90.00°
Atoms (fractional coordinates):
Te  0.118  0.794  0.235
Te  0.374  0.718  0.748
Te  0.626  0.282  0.252
Te  0.882  0.206  0.765
Tb  0.000  0.000  0.000
Nd  0.260  0.248  0.519
Nd  0.740  0.752  0.481

=====

Entry 4:
The following is a PBE-GGA calculation of crystalline ZnTcSN2 at its relaxed geometry, from Alexandria.

Computed properties:
Spin magnetization   1.051 μB per formula unit
Energy above the most stable polymorph in this dataset   1.3392 eV/atom

a = 3.737 Å, b = 4.786 Å, c = 3.737 Å
α = 90.00°, β = 90.00°, γ = 90.00°
Atoms (fractional coordinates):
N  0.500  0.000  0.000
N  0.000  0.000  0.500
S  0.000  0.500  0.000
Tc  0.500  0.500  0.500
Zn  0.000  0.000  0.000

=====

Entry 5:
The following is a PBE-GGA calculation of crystalline NiBiP3 at its relaxed geometry, from Alexandria.

Computed properties:
Spin magnetization   0.000 μB per formula unit
ΔE_f   -1.9 kcal/mol of atoms
Energy above the most stable polymorph in this dataset   0.0000 eV/atom

a = 3.223 Å, b = 4.125 Å, c = 7.948 Å
α = 94.78°, β = 90.04°, γ = 90.01°
Atoms (fractional coordinates):
P  0.102  0.277  0.412
P  0.601  0.733  0.113
P  0.101  0.432  0.000
Ni  0.602  0.244  0.218
Bi  0.103  0.810  0.637

=====

Entry 6:
The following is a PBE-GGA calculation of crystalline Y2Tm at its relaxed geometry, from Alexandria.

Computed properties:
Spin magnetization   0.000 μB per formula unit
ΔE_f   0.7 kcal/mol of atoms
Energy above the most stable polymorph in this dataset   0.0265 eV/atom

a = 5.003 Å, b = 7.921 Å, c = 9.371 Å
α = 32.37°, β = 74.52°, γ = 71.59°
Atoms (fractional coordinates):
Y  0.250  0.251  0.250
Y  0.082  0.085  0.750
Y  0.750  0.749  0.750
Y  0.918  0.915  0.250
Tm  0.417  0.416  0.750
Tm  0.583  0.584  0.250

=====

Which value of spin magnetization does entry 2 give? 0.000 μB per formula unit